Entry 1:
Compound: PrHo4In
Source: Alexandria via LeMat-Bulk
Functional: PBE-GGA
Structure: relaxed

The space group is Pmmn (No. 59, origin choice 2) and the conventional cell measures 5.504, 6.837 and 9.659 Å, with angles of 90.00, 90.00 and 90.00 degrees. The inequivalent atoms are Pr at (0.250, 0.250, 0.073), Ho at (0.250, 0.250, 0.419), Ho at (0.250, 0.504, 0.741), Ho at (0.250, 0.750, 0.113) and In at (0.250, 0.750, 0.432).

Its formation energy is -122 meV/atom. The calculated density is 8.37 Mg/m³. The value obtained for the relative energy among the computed polymorphs is 23 meV/atom.

=====

Entry 2:
Compound: Ac3In2Rh4
Source: Alexandria via LeMat-Bulk
Functional: PBE-GGA
Structure: relaxed

The space group is C2/m (No. 12) and the conventional cell measures 10.890, 4.477 and 9.147 Å, with angles of 90.00, 96.39 and 90.00 degrees. The inequivalent atoms are Ac at (0.000, 0.000, 0.000), Ac at (0.125, 0.500, 0.381), In at (0.179, 0.500, 0.786), Rh at (0.088, 0.000, 0.630) and Rh at (0.215, 0.500, 0.088).

Its formation energy is -627 meV/atom. The calculated density is 9.91 Mg/m³.

=====

Entry 3:
Compound: ZrSbIrI2
Source: Alexandria via LeMat-Bulk
Functional: PBE-GGA
Structure: relaxed

The space group is P4/mmm (No. 123) and the conventional cell measures 5.299, 5.299 and 5.203 Å, with angles of 90.00, 90.00 and 90.00 degrees. The inequivalent atoms are Zr at (0.000, 0.000, 0.000), Sb at (0.500, 0.500, 0.000), Ir at (0.500, 0.500, 0.500) and I at (0.000, 0.500, 0.500).

The calculated density is 7.49 Mg/m³. The value obtained for the relative energy among the computed polymorphs is 0 meV/atom.

=====

Entry 4:
Compound: CsBeAg3
Source: Alexandria via LeMat-Bulk
Functional: PBE-GGA
Structure: relaxed

The space group is Pm-3m (No. 221) and the conventional cell measures 6.730, 6.730 and 6.730 Å, with angles of 90.00, 90.00 and 90.00 degrees. The inequivalent atoms are Cs at (0.000, 0.000, 0.000), Be at (0.500, 0.500, 0.500) and Ag at (0.000, 0.000, 0.500).

Its formation energy is 1750 meV/atom. The calculated density is 2.54 Mg/m³. The value obtained for the relative energy among the computed polymorphs is 1401 meV/atom.